[1]
Entry from the Open Quantum Materials Database: a relaxed structure of GdI (PBE).

The volume comes out at 30.059 Å³/atom. The value obtained for the total energy is -0.2629 Ry per atom.

extended XYZ file:
```
2
Lattice="0.000 3.109 3.109 3.109 0.000 3.109 3.109 3.109 0.000" Properties=species:S:1:pos:R:3 pbc="T T T"
Gd 0.000 0.000 0.000
I 3.109 3.109 3.109
```


[2]
Entry from the Open Quantum Materials Database: a relaxed structure of MgFe6Ge4 (PBE).

The volume comes out at 13.352 Å³/atom. The value obtained for the total energy is -0.4748 Ry per atom.

extended XYZ file:
```
11
Lattice="2.528 1.460 6.632 -2.528 1.460 6.632 0.000 -2.920 6.632" Properties=species:S:1:pos:R:3 pbc="T T T"
Mg 0.000 0.000 0.000
Fe -1.232 -0.711 8.680
Fe 0.000 -1.422 11.216
Fe -1.232 0.711 11.216
Fe 1.232 -0.711 8.680
Fe 0.000 1.422 8.680
Fe 1.232 0.711 11.216
Ge 0.000 0.000 2.616
Ge 0.000 0.000 6.607
Ge 0.000 0.000 13.289
Ge 0.000 0.000 17.280
```


[3]
Entry from the Open Quantum Materials Database: a relaxed structure of ThB (PBE).

The calculation puts the excess energy over the best structure of this formula in the dataset at 225.6 meV/atom. The volume comes out at 20.348 Å³/atom.

extended XYZ file:
```
2
Lattice="3.798 0.000 0.000 -1.899 3.290 0.000 0.000 0.000 3.257" Properties=species:S:1:pos:R:3 pbc="T T T"
Th 0.000 0.000 0.000
B 0.000 2.193 1.628
```


[4]
Entry from the Open Quantum Materials Database: a relaxed structure of Ga5W2 (PBE).

The volume comes out at 16.265 Å³/atom. The value obtained for the total energy is -0.4271 Ry per atom.

extended XYZ file:
```
14
Lattice="9.146 0.000 0.000 0.000 9.146 0.000 0.000 0.000 2.722" Properties=species:S:1:pos:R:3 pbc="T T T"
Ga 0.000 4.573 0.000
Ga 0.540 1.837 0.000
Ga 1.837 8.606 0.000
Ga 2.735 4.033 0.000
Ga 4.033 6.410 0.000
Ga 4.573 0.000 0.000
Ga 5.112 2.735 0.000
Ga 6.410 5.112 0.000
Ga 7.308 0.540 0.000
Ga 8.606 7.308 0.000
W 1.641 6.214 1.361
W 2.932 1.641 1.361
W 6.214 7.505 1.361
W 7.505 2.932 1.361
```


[5]
Entry from the Open Quantum Materials Database: a relaxed structure of TmAlPbS3 (PBE).

The volume comes out at 24.115 Å³/atom. The value obtained for the total energy is -0.3770 Ry per atom.

extended XYZ file:
```
12
Lattice="1.890 -7.254 0.000 1.890 7.254 0.000 0.000 0.000 10.550" Properties=species:S:1:pos:R:3 pbc="T T T"
Tm 0.000 0.000 0.000
Tm 0.000 0.000 5.275
Al 1.890 1.859 7.913
Al 1.890 -1.859 2.638
Pb 1.890 2.897 2.638
Pb 1.890 -2.897 7.913
S 1.890 6.920 2.638
S 1.890 1.909 5.421
S 1.890 1.909 10.405
S 1.890 -1.909 0.146
S 1.890 -1.909 5.130
S 1.890 -6.920 7.913
```


[6]
Entry from the Open Quantum Materials Database: a relaxed structure of Ba2Sb3Mo2 (PBE).

The volume comes out at 31.242 Å³/atom. The value obtained for the total energy is -0.4196 Ry per atom.

extended XYZ file:
```
14
Lattice="9.179 -2.161 0.000 9.179 2.161 0.000 -6.813 0.000 11.026" Properties=species:S:1:pos:R:3 pbc="T T T"
Ba -1.140 0.000 5.127
Ba -1.543 0.000 9.209
Ba 13.088 0.000 1.817
Ba 12.686 0.000 5.899
Sb -4.531 0.000 10.818
Sb 1.528 0.000 7.822
Sb 5.718 0.000 3.705
Sb 5.827 0.000 7.320
Sb 10.018 0.000 3.204
Sb 16.077 0.000 0.207
Mo 0.083 0.000 1.477
Mo 7.657 0.000 1.837
Mo 3.888 0.000 9.189
Mo 11.463 0.000 9.549
```


[7]
Entry from the Open Quantum Materials Database: a relaxed structure of NbZnGa (PBE).

The volume comes out at 19.522 Å³/atom. The value obtained for the total energy is -0.3191 Ry per atom.

extended XYZ file:
```
3
Lattice="0.000 3.082 3.082 3.082 0.000 3.082 3.082 3.082 0.000" Properties=species:S:1:pos:R:3 pbc="T T T"
Nb 0.000 0.000 0.000
Zn 1.541 1.541 1.541
Ga 4.623 4.623 4.623
```


[8]
Entry from the Open Quantum Materials Database: a relaxed structure of Ag2F (PBE).

The calculation puts the excess energy over the best structure of this formula in the dataset at 594.5 meV/atom. The volume comes out at 18.045 Å³/atom.

extended XYZ file:
```
6
Lattice="0.000 3.783 3.783 3.783 0.000 3.783 3.783 3.783 0.000" Properties=species:S:1:pos:R:3 pbc="T T T"
Ag 0.000 0.000 0.000
Ag 1.891 1.891 0.000
Ag 1.891 0.000 1.891
Ag 0.000 1.891 1.891
F 2.837 2.837 2.837
F 4.729 4.729 4.729
```


[9]
Entry from the Open Quantum Materials Database: a relaxed structure of LuCoHg (PBE).

The calculation puts the excess energy over the best structure of this formula in the dataset at 0.0 meV/atom. The volume comes out at 20.954 Å³/atom. Its formation energy is -38.9 meV/atom.

extended XYZ file:
```
3
Lattice="0.000 3.156 3.156 3.156 0.000 3.156 3.156 3.156 0.000" Properties=species:S:1:pos:R:3 pbc="T T T"
Lu 0.000 0.000 0.000
Co 4.734 4.734 4.734
Hg 3.156 3.156 3.156
```


[10]
Entry from the Open Quantum Materials Database: a relaxed structure of HfRe5 (PBE).

The calculation puts the excess energy over the best structure of this formula in the dataset at 0.0 meV/atom. The volume comes out at 16.330 Å³/atom. Its formation energy is 42.3 meV/atom.

extended XYZ file:
```
6
Lattice="0.000 3.659 3.659 3.659 0.000 3.659 3.659 3.659 0.000" Properties=species:S:1:pos:R:3 pbc="T T T"
Hf 0.000 0.000 0.000
Re 4.582 2.736 2.736
Re 1.830 1.830 1.830
Re 2.736 4.582 2.736
Re 2.736 2.736 4.582
Re 4.582 4.582 4.582
```


[11]
Entry from the Open Quantum Materials Database: a relaxed structure of NbInFeAg (PBE).

The calculation puts the excess energy over the best structure of this formula in the dataset at 0.0 meV/atom. The volume comes out at 17.025 Å³/atom.

extended XYZ file:
```
4
Lattice="0.000 3.241 3.241 3.241 0.000 3.241 3.241 3.241 0.000" Properties=species:S:1:pos:R:3 pbc="T T T"
Nb 0.000 0.000 0.000
In 3.241 3.241 3.241
Fe 4.862 4.862 4.862
Ag 1.621 1.621 1.621
```


[12]
Entry from the Open Quantum Materials Database: a relaxed structure of AlSi2Au (PBE).

The volume comes out at 16.695 Å³/atom. The value obtained for the total energy is -0.3052 Ry per atom.

extended XYZ file:
```
4
Lattice="0.000 3.220 3.220 3.220 0.000 3.220 3.220 3.220 0.000" Properties=species:S:1:pos:R:3 pbc="T T T"
Al 0.000 0.000 0.000
Si 3.220 3.220 3.220
Si 4.830 4.830 4.830
Au 1.610 1.610 1.610
```